Record 1
DFT (PBE) results for an optimized crystal structure of TlCo2Rh.

## Properties
**DOS at the Fermi energy**: 4.1 states/eV/f.u.
**Symmetry**: R-3m (166)
**Energy relative to the elements**: 0.5642 eV per atom
**Distance to the lowest polymorph of the same formula**: 263.0 meV/atom
**Total moment**: 3.90 μB per formula unit

Cell and atoms, written as POSCAR:
```
TlCo2Rh
1.0
1.4368 0.8295 8.5456
-1.4368 0.8295 8.5456
0.0000 -1.6591 8.5456
Tl Co Rh
1 2 1
Direct
0.0000 0.0000 0.0000
0.2439 0.2439 0.2439
0.7561 0.7561 0.7561
0.5000 0.5000 0.5000
```

Record 2
DFT (PBE) results for an optimized crystal structure of Tl4CoRh.

## Properties
**DOS at the Fermi energy**: 8.0 states/eV/f.u.
**Symmetry**: F-43m (216)
**Energy relative to the elements**: 1.0652 eV per atom
**Total moment**: 2.52 μB per formula unit

Cell and atoms, written as POSCAR:
```
Tl4CoRh
1.0
0.0000 4.2696 4.2696
4.2696 0.0000 4.2696
4.2696 4.2696 0.0000
Tl Co Rh
4 1 1
Direct
0.1252 0.1252 0.1252
0.1252 0.1252 0.6243
0.1252 0.6243 0.1252
0.6243 0.1252 0.1252
0.7500 0.7500 0.7500
0.5000 0.5000 0.5000
```

Record 3
DFT (PBE) results for an optimized crystal structure of TlCoRh4.

## Properties
**DOS at the Fermi energy**: 10.4 states/eV/f.u.
**Symmetry**: F-43m (216)
**Energy relative to the elements**: 0.4428 eV per atom
**Total moment**: 3.67 μB per formula unit

Cell and atoms, written as POSCAR:
```
TlCoRh4
1.0
0.0000 3.6499 3.6499
3.6499 0.0000 3.6499
3.6499 3.6499 0.0000
Tl Co Rh
1 1 4
Direct
0.0000 0.0000 0.0000
0.7500 0.7500 0.7500
0.3753 0.3753 0.3753
0.3753 0.3753 0.8742
0.3753 0.8742 0.3753
0.8742 0.3753 0.3753
```

Question: Look up the total moment of the third one.
Answer: 3.67 μB per formula unit